A relaxed Y3Be2Co4 crystal. Source: the Alexandria database, functional PBE-GGA.

energy of formation	-0.128	eV per atom
ρ	5.7	Mg/m³
electronic total energy	-6.2692	eV/atom
total magnetization	3.7	Bohr magnetons per cell
space group	P-6m2
D(E_F)	0.81	states/eV/atom

a = 3.840 Å, b = 3.840 Å, c = 23.787 Å
α = 90.00°, β = 90.00°, γ = 120.00°
Fractional positions:
1 Y 0.000 0.000 0.084
2 Y 0.000 0.000 0.248
3 Y 0.000 0.000 0.415
4 Y 0.000 0.000 0.585
5 Y 0.000 0.000 0.752
6 Y 0.000 0.000 0.916
7 Be 0.333 0.667 0.500
8 Be 0.667 0.333 0.166
9 Be 0.667 0.333 0.500
10 Be 0.667 0.333 0.834
11 Co 0.333 0.667 0.000
12 Co 0.333 0.667 0.166
13 Co 0.333 0.667 0.332
14 Co 0.333 0.667 0.668
15 Co 0.333 0.667 0.834
16 Co 0.667 0.333 0.000
17 Co 0.667 0.333 0.332
18 Co 0.667 0.333 0.668

***

A relaxed YBeCo crystal. Source: the Alexandria database, functional PBE-GGA.

energy of formation	-0.216	eV per atom
ρ	5.2	Mg/m³
electronic total energy	-5.9814	eV/atom
total magnetization	0.0	Bohr magnetons per cell
space group	I4/mmm
D(E_F)	0.82	states/eV/atom

a = 6.991 Å, b = 6.991 Å, c = 6.991 Å
α = 147.13°, β = 147.13°, γ = 47.17°
Fractional positions:
1 Y 0.150 0.150 0.000
2 Y 0.850 0.850 0.000
3 Be 0.418 0.418 0.000
4 Be 0.582 0.582 0.000
5 Co 0.000 0.500 0.500
6 Co 0.500 0.000 0.500